(1)
Entry from the Alexandria database: an optimized crystal structure of Mn2VTc2 (GGA-PBE).

a = 6.8900 Å, b = 6.8900 Å, c = 2.7931 Å
α = 90.00°, β = 90.00°, γ = 90.00°
Space group P4/mbm (No. 127)
One atom of each set of equivalent atoms:
Mn  0.1311  0.3689  0.0000 x4
V  0.0000  0.0000  0.0000 x2
Tc  0.1695  0.6695  0.5000 x4

Calculated values
- Electronic total energy: -0.6972 Ry/atom
- Formation energy from the elements: 152 meV per atom
- Size of the total moment: 0.000 μB/atom
- Calculated volume: 13.3 Å³/atom

(2)
Entry from the Alexandria database: an optimized crystal structure of Ba2CuSi (GGA-PBE).

a = 3.8987 Å, b = 3.9340 Å, c = 8.3268 Å
α = 90.00°, β = 90.07°, γ = 90.00°
Space group P2/m (No. 10)
One atom of each set of equivalent atoms:
Ba  0.0007  0.0000  0.2455 x2
Cu  0.5000  0.5000  0.5000 x1
Si  0.5000  0.5000  0.0000 x1

Calculated values
- Electronic total energy: -0.2475 Ry/atom
- Raw formation energy: -0.03 eV/atom
- Size of the total moment: 0.000 μB/atom
- Calculated volume: 31.9 Å³/atom